No. 1
Density functional theory data (PBE) for a geometry-optimized MgHg2Pb structure.

Results
Its crystal system is monoclinic. As for the space group: C2/m, No. 12.

Cell: 5.113 5.113 6.113 Å, 76.79 76.79 41.42°
Positions (direct):
Pb 0.250 0.250 0.250
Hg 0.011 0.011 0.966
Hg 0.489 0.489 0.534
Mg 0.750 0.750 0.750

No. 2
Density functional theory data (PBE) for a geometry-optimized CsNaCu2O structure.

Results
Its crystal system is tetragonal. As for the space group: P4/mmm, No. 123. The uncorrected formation energy is 7.61 eV per formula unit.

Cell: 5.527 5.527 7.881 Å, 90.00 90.00 90.00°
Positions (direct):
Cs 0.000 0.000 0.000
Cu 0.000 0.500 0.000
Cu 0.500 0.000 0.000
Na 0.000 0.000 0.500
O 0.500 0.500 0.500

No. 3
Density functional theory data (PBE) for a geometry-optimized RbBPRh2 structure.

Results
Its crystal system is tetragonal. As for the space group: P4/mmm, No. 123.

Cell: 4.870 4.496 4.870 Å, 90.00 90.00 90.00°
Positions (direct):
Rh 0.500 0.000 0.000
Rh 0.000 0.000 0.500
B 0.000 0.500 0.000
P 0.500 0.500 0.500
Rb 0.000 0.000 0.000

No. 4
Density functional theory data (PBE) for a geometry-optimized PrDy3C structure.

Results
Its crystal system is cubic. As for the space group: Pm-3m, No. 221.

Cell: 5.073 5.073 5.073 Å, 90.00 90.00 90.00°
Positions (direct):
Dy 0.500 0.000 0.000
Dy 0.000 0.500 0.000
Dy 0.000 0.000 0.500
C 0.000 0.000 0.000
Pr 0.500 0.500 0.500

No. 5
Density functional theory data (PBE) for a geometry-optimized K2Mg2Au structure.

Results
Its crystal system is tetragonal. As for the space group: I4/mmm, No. 139.

Cell: 4.165 4.165 11.003 Å, 79.09 79.09 90.00°
Positions (direct):
K 0.590 0.590 0.820
K 0.410 0.410 0.180
Au 0.000 0.000 0.000
Mg 0.250 0.750 0.500
Mg 0.750 0.250 0.500

No. 6
Density functional theory data (PBE) for a geometry-optimized Sr2VC2N6 structure.

Results
Its crystal system is monoclinic. As for the space group: C2/m, No. 12. The uncorrected formation energy is -4.65 eV per formula unit.

Cell: 5.170 5.176 6.133 Å, 114.87 90.00 119.97°
Positions (direct):
N 0.754 0.508 0.714
N 0.756 0.968 0.720
N 0.211 0.968 0.720
N 0.246 0.492 0.286
N 0.244 0.032 0.280
N 0.789 0.032 0.280
Sr 0.281 0.563 0.841
Sr 0.719 0.437 0.159
V 0.500 0.000 0.500
C 0.095 0.189 0.287
C 0.905 0.811 0.713

So what do the calculations give for E? Going down the list: -1.536, -1.543, -2.710, -5.573, -1.700, -7.776 eV per atom.
So what do the calculations give for size of the total moment? Going down the list: 0.00, 0.00, 0.00, 0.00, 0.00, 0.00 μB per cell.